# 1
DFT (PBE-GGA) results for an optimized crystal structure of Dy2BeZnCu6.

Unit cell a=5.880 b=6.446 c=5.893 alpha=62.62 beta=59.95 gamma=90.00
Sites, in units of the cell vectors:
Dy  0.781  0.342  0.438
Dy  0.219  0.658  0.562
Be  0.000  0.000  0.000
Zn  0.500  0.500  0.000
Cu  0.241  0.148  0.518
Cu  0.758  0.849  0.911
Cu  0.330  0.848  0.913
Cu  0.670  0.152  0.087
Cu  0.242  0.151  0.089
Cu  0.759  0.852  0.482

The calculated total energy is -3.97 eV/atom. The calculation puts the spin magnetization at 0.00 μB/f.u. The calculation puts the density of states at the Fermi level at 6.10 states/eV/f.u.

# 2
DFT (PBE-GGA) results for an optimized crystal structure of NbGaCo3.

Unit cell a=4.750 b=5.735 c=5.735 alpha=120.00 beta=90.00 gamma=90.00
Sites, in units of the cell vectors:
Nb  0.250  0.334  0.666
Nb  0.750  0.666  0.334
Ga  0.000  0.000  0.000
Ga  0.500  0.000  0.000
Co  0.250  0.799  0.201
Co  0.750  0.201  0.799
Co  0.250  0.799  0.599
Co  0.750  0.201  0.401
Co  0.250  0.401  0.201
Co  0.750  0.599  0.799

The calculated total energy is -6.64 eV/atom. The calculation puts the spin magnetization at 1.01 μB/f.u. The calculation puts the density of states at the Fermi level at 7.05 states/eV/f.u.

# 3
DFT (PBE-GGA) results for an optimized crystal structure of CuRuN.

Unit cell a=3.814 b=3.814 c=4.825 alpha=90.00 beta=90.00 gamma=90.00
Sites, in units of the cell vectors:
Ru  0.000  0.000  0.500
Ru  0.500  0.500  0.500
Cu  0.000  0.500  0.928
Cu  0.500  0.000  0.072
N  0.000  0.500  0.320
N  0.500  0.000  0.680

The calculated total energy is -6.68 eV/atom. The calculation puts the spin magnetization at 0.00 μB/f.u. For the formation energy (no corrections), the calculation gives 0.5548 eV/atom. The calculation puts the density of states at the Fermi level at 0.23 states/eV/f.u.

# 4
DFT (PBE-GGA) results for an optimized crystal structure of LaW3S.

Unit cell a=4.883 b=4.883 c=4.883 alpha=90.00 beta=90.00 gamma=90.00
Sites, in units of the cell vectors:
S  0.500  0.500  0.500
W  0.000  0.500  0.000
W  0.000  0.000  0.500
W  0.500  0.000  0.000
La  0.000  0.000  0.000

The calculated total energy is -6.28 eV/atom. The calculation puts the spin magnetization at 0.00 μB/f.u. For the formation energy (no corrections), the calculation gives 3.3027 eV/atom. The calculation puts the density of states at the Fermi level at 7.48 states/eV/f.u.

# 5
DFT (PBE-GGA) results for an optimized crystal structure of Ru2CF.

Unit cell a=4.604 b=4.604 c=6.094 alpha=67.81 beta=67.81 gamma=90.00
Sites, in units of the cell vectors:
Ru  0.557  0.125  0.250
Ru  0.193  0.625  0.250
Ru  0.375  0.443  0.750
Ru  0.875  0.807  0.750
C  0.500  0.500  0.000
C  0.250  0.750  0.500
F  0.000  0.000  0.000
F  0.750  0.250  0.500

The calculated total energy is -7.12 eV/atom. The calculation puts the spin magnetization at 0.55 μB/f.u. For the formation energy (no corrections), the calculation gives 0.2957 eV/atom. The calculation puts the density of states at the Fermi level at 4.54 states/eV/f.u.

# 6
DFT (PBE-GGA) results for an optimized crystal structure of As2RhSe.

Unit cell a=2.924 b=2.924 c=8.770 alpha=90.00 beta=90.00 gamma=90.00
Sites, in units of the cell vectors:
As  0.000  0.000  0.023
As  0.500  0.500  0.303
Rh  0.000  0.000  0.483
Se  0.500  0.500  0.690

The calculated total energy is -4.91 eV/atom. The calculation puts the spin magnetization at 0.00 μB/f.u. For the formation energy (no corrections), the calculation gives 0.1248 eV/atom. The calculation puts the density of states at the Fermi level at 1.61 states/eV/f.u.

calculated total energy of number 5 (Ru2CF)? -7.12 eV/atom

Look up the calculated total energy of the second one. -6.64 eV/atom